The following is a DFT calculation (PBE) of an optimized crystal structure of Mn2NiAsI.

Computed properties:
Raw formation energy, eV per atom: 0.871
DOS at the Fermi energy, states/eV/atom: 0.7793

Geometry as CIF:
```
data_Mn2NiAsI
_chemical_formula_sum 'Mn2 Ni1 As1 I1'
_cell_length_a 4.7625
_cell_length_b 4.7625
_cell_length_c 4.7836
_cell_angle_alpha 90.00
_cell_angle_beta 90.00
_cell_angle_gamma 90.00
_symmetry_space_group_name_H-M 'P 4/m m m'
_symmetry_Int_Tables_number 123
_symmetry_space_group_name_Hall '-P 4 2'
loop_
_atom_site_label
_atom_site_type_symbol
_atom_site_fract_x
_atom_site_fract_y
_atom_site_fract_z
Mn1 Mn 0.0000 0.5000 0.0000
Ni1 Ni 0.0000 0.0000 0.0000
As1 As 0.5000 0.5000 0.5000
I1 I 0.0000 0.0000 0.5000
```